Entry 1:
# FeCu2Ag | the Alexandria database | PBE-GGA | optimized geometry
data_FeCu2Ag
_chemical_formula_sum 'Fe2 Cu4 Ag2'
_space_group_name_H-M_alt 'C 1 m 1'
_space_group_IT_number 8
_cell_length_a 8.8699
_cell_length_b 2.6726
_cell_length_c 4.6637
_cell_angle_alpha 90.00
_cell_angle_beta 100.20
_cell_angle_gamma 90.00
loop_
_space_group_symop_operation_xyz
'x,y,z'
'x,-y,z'
'x+1/2,y+1/2,z'
'x+1/2,-y+1/2,z'
loop_
_atom_site_label
_atom_site_fract_x
_atom_site_fract_y
_atom_site_fract_z
Fe1 0.0000 0.0000 0.0000
Cu1 0.0112 0.5000 0.5285
Cu2 0.2547 0.0000 0.7703
Ag1 0.2566 0.5000 0.2701
# mass density	8.88	g cm⁻³
# E	-4.629	eV per atom
# magnetic moment	5.76	Bohr magnetons per cell
# formation energy from the elements	24	kJ/mol of atoms

Entry 2:
# K3La2YS6 | the Alexandria database | PBE-GGA | optimized geometry
data_K3La2YS6
_chemical_formula_sum 'K6 La4 Y2 S12'
_space_group_name_H-M_alt 'C 1 2/m 1'
_space_group_IT_number 12
_cell_length_a 7.3015
_cell_length_b 12.6469
_cell_length_c 7.7677
_cell_angle_alpha 90.00
_cell_angle_beta 108.29
_cell_angle_gamma 90.00
loop_
_space_group_symop_operation_xyz
'x,y,z'
'-x,-y,-z'
'-x,y,-z'
'x,-y,z'
'x+1/2,y+1/2,z'
'-x+1/2,-y+1/2,-z'
'-x+1/2,y+1/2,-z'
'x+1/2,-y+1/2,z'
loop_
_atom_site_label
_atom_site_fract_x
_atom_site_fract_y
_atom_site_fract_z
K1 0.0000 0.0000 0.0000
K2 0.0000 0.3330 0.0000
La1 0.0000 0.1666 0.5000
Y1 0.0000 0.5000 0.5000
S1 0.2297 0.3390 0.7059
S2 0.2467 0.0000 0.7053
# mass density	3.30	g cm⁻³
# formation energy from raw total energies	-1.91	eV per atom
# E	-5.605	eV per atom
# magnetic moment	0.00	Bohr magnetons per cell

Entry 3:
# NaCa2MgPd | the Alexandria database | PBE-GGA | optimized geometry
data_NaCa2MgPd
_chemical_formula_sum 'Na1 Ca2 Mg1 Pd1'
_space_group_name_H-M_alt 'P 4/m m m'
_space_group_IT_number 123
_space_group_name_Hall '-P 4 2'
_cell_length_a 5.5987
_cell_length_b 5.5987
_cell_length_c 5.2332
_cell_angle_alpha 90.00
_cell_angle_beta 90.00
_cell_angle_gamma 90.00
loop_
_atom_site_label
_atom_site_fract_x
_atom_site_fract_y
_atom_site_fract_z
Na1 0.0000 0.0000 0.0000
Ca1 0.0000 0.5000 0.5000
Mg1 0.5000 0.5000 0.0000
Pd1 0.5000 0.5000 0.5000
# mass density	2.37	g cm⁻³
# E	-2.695	eV per atom
# magnetic moment	0.00	Bohr magnetons per cell
# formation energy from the elements	-26	kJ/mol of atoms

Entry 4:
# NaBi2Te2 | the Alexandria database | PBE-GGA | optimized geometry
data_NaBi2Te2
_chemical_formula_sum 'Na2 Bi4 Te4'
_space_group_name_H-M_alt 'P 4/m b m'
_space_group_IT_number 127
_space_group_name_Hall '-P 4 2ab'
_cell_length_a 8.6868
_cell_length_b 8.6868
_cell_length_c 4.3669
_cell_angle_alpha 90.00
_cell_angle_beta 90.00
_cell_angle_gamma 90.00
loop_
_atom_site_label
_atom_site_fract_x
_atom_site_fract_y
_atom_site_fract_z
Na1 0.0000 0.0000 0.0000
Bi1 0.1404 0.3596 0.5000
Te1 0.1787 0.6787 0.0000
# mass density	7.02	g cm⁻³
# formation energy from raw total energies	-0.17	eV per atom
# E	-3.243	eV per atom
# magnetic moment	0.00	Bohr magnetons per cell

Entry 5:
# Na2Hg2Se | the Alexandria database | PBE-GGA | optimized geometry
data_Na2Hg2Se
_chemical_formula_sum 'Na4 Hg4 Se2'
_space_group_name_H-M_alt 'P 4/m b m'
_space_group_IT_number 127
_space_group_name_Hall '-P 4 2ab'
_cell_length_a 7.4833
_cell_length_b 7.4833
_cell_length_c 5.4978
_cell_angle_alpha 90.00
_cell_angle_beta 90.00
_cell_angle_gamma 90.00
loop_
_atom_site_label
_atom_site_fract_x
_atom_site_fract_y
_atom_site_fract_z
Na1 0.1767 0.3233 0.0000
Hg1 0.1549 0.6549 0.5000
Se1 0.0000 0.0000 0.0000
# mass density	5.68	g cm⁻³
# formation energy from raw total energies	-0.43	eV per atom
# E	-1.770	eV per atom
# magnetic moment	0.00	Bohr magnetons per cell

Entry 6:
# K2NpGaCl6 | the Alexandria database | PBE-GGA | optimized geometry
data_K2NpGaCl6
_chemical_formula_sum 'K6 Np3 Ga3 Cl18'
_space_group_name_H-M_alt 'R 3'
_space_group_IT_number 146
_space_group_name_Hall 'R 3'
_cell_length_a 7.6618
_cell_length_b 7.6618
_cell_length_c 19.9427
_cell_angle_alpha 90.00
_cell_angle_beta 90.00
_cell_angle_gamma 120.00
loop_
_atom_site_label
_atom_site_fract_x
_atom_site_fract_y
_atom_site_fract_z
K1 0.0000 0.0000 0.0000
K2 0.0000 0.0000 0.4933
Np1 0.0000 0.0000 0.7041
Ga1 0.0000 0.0000 0.2121
Cl1 0.0075 0.3980 0.4440
Cl2 0.0735 0.7044 0.2838
# mass density	2.94	g cm⁻³
# formation energy from raw total energies	-1.63	eV per atom
# E	-4.554	eV per atom
# magnetic moment	12.00	Bohr magnetons per cell

Entry 7:
# Nd4GaBi | the Alexandria database | PBE-GGA | optimized geometry
data_Nd4GaBi
_chemical_formula_sum 'Nd16 Ga4 Bi4'
_space_group_name_H-M_alt 'C 1 2/c 1'
_space_group_IT_number 15
_cell_length_a 8.9808
_cell_length_b 14.1978
_cell_length_c 6.2981
_cell_angle_alpha 90.00
_cell_angle_beta 112.48
_cell_angle_gamma 90.00
loop_
_space_group_symop_operation_xyz
'x,y,z'
'-x,-y,-z'
'-x,y,-z+1/2'
'x,-y,z+1/2'
'x+1/2,y+1/2,z'
'-x+1/2,-y+1/2,-z'
'-x+1/2,y+1/2,-z+1/2'
'x+1/2,-y+1/2,z+1/2'
loop_
_atom_site_label
_atom_site_fract_x
_atom_site_fract_y
_atom_site_fract_z
Nd1 0.1055 0.1825 0.0621
Nd2 0.2039 0.4162 0.3480
Ga1 0.0000 0.0007 0.7500
Bi1 0.0000 0.3817 0.7500
# mass density	7.66	g cm⁻³
# E	-4.816	eV per atom
# magnetic moment	0.00	Bohr magnetons per cell
# formation energy from the elements	-47	kJ/mol of atoms

Entry 8:
# Al2SiHg | the Alexandria database | PBE-GGA | optimized geometry
data_Al2SiHg
_chemical_formula_sum 'Al4 Si2 Hg2'
_space_group_name_H-M_alt 'I m m 2'
_space_group_IT_number 44
_cell_length_a 2.8247
_cell_length_b 4.9187
_cell_length_c 10.8952
_cell_angle_alpha 90.00
_cell_angle_beta 90.00
_cell_angle_gamma 90.00
loop_
_space_group_symop_operation_xyz
'x,y,z'
'-x,-y,z'
'-x,y,z'
'x,-y,z'
'x+1/2,y+1/2,z+1/2'
'-x+1/2,-y+1/2,z+1/2'
'-x+1/2,y+1/2,z+1/2'
'x+1/2,-y+1/2,z+1/2'
loop_
_atom_site_label
_atom_site_fract_x
_atom_site_fract_y
_atom_site_fract_z
Al1 0.0000 0.0000 0.0000
Al2 0.0000 0.5000 0.2690
Si1 0.0000 0.0000 0.5598
Hg1 0.0000 0.5000 0.7836
# mass density	6.20	g cm⁻³
# formation energy from raw total energies	0.27	eV per atom
# E	-3.030	eV per atom
# magnetic moment	0.00	Bohr magnetons per cell

Entry 9:
# LaBe2Hg | the Alexandria database | PBE-GGA | optimized geometry
data_LaBe2Hg
_chemical_formula_sum 'La3 Be6 Hg3'
_space_group_name_H-M_alt 'R 3 m'
_space_group_IT_number 160
_space_group_name_Hall 'R 3 -2"'
_cell_length_a 4.0598
_cell_length_b 4.0598
_cell_length_c 16.6335
_cell_angle_alpha 90.00
_cell_angle_beta 90.00
_cell_angle_gamma 120.00
loop_
_atom_site_label
_atom_site_fract_x
_atom_site_fract_y
_atom_site_fract_z
La1 0.0000 0.0000 0.0000
Be1 0.0000 0.0000 0.2040
Be2 0.0000 0.0000 0.5266
Hg1 0.0000 0.0000 0.8054
# mass density	7.50	g cm⁻³
# E	-3.149	eV per atom
# magnetic moment	0.00	Bohr magnetons per cell
# formation energy from the elements	2	kJ/mol of atoms